Entry 1:
meta-GGA SCAN CrSiNiS2, PBEsol geometry; space group = P4/mmm, No. 123; formation energy without anion corrections = 0.742 eV/atom; final energy = -0.4419 Ha/atom
1.0
4.268 0.000 0.000
0.000 4.268 0.000
0.000 0.000 4.556
Cr Si Ni S
1 1 1 2
Direct
0.000 0.000 0.000
0.000 0.000 0.500
0.500 0.500 0.500
0.000 0.500 0.000
0.500 0.000 0.000



Entry 2:
meta-GGA SCAN CrNiSb2, PBEsol geometry; space group = Amm2, No. 38; formation energy without anion corrections = 0.016 eV/atom; final energy = -1.0016 Ha/atom; offset from the most stable computed form = 195 meV/atom
1.0
3.909 0.000 0.000
0.000 1.779 4.879
0.000 -1.779 4.879
Cr Ni Sb
1 1 2
Direct
0.000 0.000 0.000
0.500 0.162 0.162
0.000 0.717 0.717
0.500 0.433 0.433



Entry 3:
meta-GGA SCAN Cr4NiSb, PBEsol geometry; space group = F-43m, No. 216; formation energy without anion corrections = 0.410 eV/atom; final energy = -0.7626 Ha/atom
1.0
0.000 3.365 3.365
3.365 0.000 3.365
3.365 3.365 0.000
Cr Ni Sb
4 1 1
Direct
0.377 0.377 0.377
0.377 0.377 0.869
0.377 0.869 0.377
0.869 0.377 0.377
0.750 0.750 0.750
0.000 0.000 0.000



Entry 4:
meta-GGA SCAN CrNiSb2, PBEsol geometry; space group = Imm2, No. 44; formation energy without anion corrections = 0.058 eV/atom; final energy = -1.0000 Ha/atom; offset from the most stable computed form = 237 meV/atom
1.0
-1.542 1.969 5.980
1.542 -1.969 5.980
1.542 1.969 -5.980
Cr Ni Sb
1 1 2
Direct
0.000 0.000 0.000
0.207 0.707 0.500
0.392 0.392 0.000
0.653 0.153 0.500



Entry 5:
meta-GGA SCAN CrNiSb2, PBEsol geometry; space group = P-3m1, No. 164; formation energy without anion corrections = -0.179 eV/atom; final energy = -1.0087 Ha/atom; offset from the most stable computed form = 0 meV/atom
1.0
3.957 0.000 0.000
-1.979 3.427 0.000
0.000 0.000 5.344
Cr Ni Sb
1 1 2
Direct
0.000 0.000 0.000
0.000 0.000 0.500
0.333 0.667 0.266
0.667 0.333 0.734



Entry 6:
meta-GGA SCAN CrNiSb2, PBEsol geometry; space group = P4/mmm, No. 123; formation energy without anion corrections = 0.226 eV/atom; final energy = -0.9938 Ha/atom; offset from the most stable computed form = 405 meV/atom
1.0
4.624 0.000 0.000
0.000 4.624 0.000
0.000 0.000 3.180
Cr Ni Sb
1 1 2
Direct
0.000 0.000 0.000
0.500 0.500 0.000
0.000 0.500 0.500
0.500 0.000 0.500



Entry 7:
meta-GGA SCAN Sc2CrNi, PBEsol geometry; space group = F-43m, No. 216; calculated formation energy = -0.1 eV per formula unit; final energy = -0.5797 Ha/atom
1.0
0.000 3.180 3.180
3.180 0.000 3.180
3.180 3.180 0.000
Sc Cr Ni
2 1 1
Direct
0.000 0.000 0.000
0.250 0.250 0.250
0.500 0.500 0.500
0.750 0.750 0.750



Entry 8:
meta-GGA SCAN ScCrNi2, PBEsol geometry; space group = P4mm, No. 99; calculated formation energy = 0.4 eV per formula unit; final energy = -0.5934 Ha/atom
1.0
2.976 0.000 0.000
0.000 2.976 0.000
0.000 0.000 5.852
Sc Cr Ni
1 1 2
Direct
0.000 0.000 0.000
0.500 0.500 0.313
0.000 0.000 0.506
0.500 0.500 0.727



Entry 9:
meta-GGA SCAN Sc2ZnCrNi, PBEsol geometry; space group = P4/mmm, No. 123; calculated formation energy = 4.0 eV per formula unit; final energy = -0.5334 Ha/atom
1.0
4.495 0.000 0.000
0.000 4.495 0.000
0.000 0.000 4.566
Sc Zn Cr Ni
2 1 1 1
Direct
0.000 0.500 0.000
0.500 0.000 0.000
0.000 0.000 0.500
0.000 0.000 0.000
0.500 0.500 0.500



Entry 10:
meta-GGA SCAN CrNi2Se, PBEsol geometry; space group = Immm, No. 71; formation energy without anion corrections = 0.109 eV/atom; final energy = -0.6465 Ha/atom
1.0
-1.545 1.971 4.046
1.545 -1.971 4.046
1.545 1.971 -4.046
Cr Ni Se
1 2 1
Direct
0.000 0.000 0.000
0.270 0.770 0.500
0.730 0.230 0.500
0.500 0.500 0.000



Entry 11:
meta-GGA SCAN CrNiSe, PBEsol geometry; space group = P3m1, No. 156; formation energy without anion corrections = -0.119 eV/atom; final energy = -0.6737 Ha/atom; offset from the most stable computed form = 0 meV/atom
1.0
3.866 0.000 0.000
-1.933 3.348 0.000
0.000 0.000 3.286
Cr Ni Se
1 1 1
Direct
0.000 0.000 0.000
0.333 0.667 0.474
0.667 0.333 0.540



Entry 12:
meta-GGA SCAN CrNi2Se, PBEsol geometry; space group = C2/m, No. 12; formation energy without anion corrections = 0.117 eV/atom; final energy = -0.6463 Ha/atom
1.0
4.079 -1.536 0.000
4.079 1.536 0.000
-0.903 0.000 3.970
Cr Ni Se
1 2 1
Direct
0.000 0.000 0.000
0.254 0.254 0.759
0.746 0.746 0.241
0.500 0.500 0.500



Entry 13:
meta-GGA SCAN CrNiSe, PBEsol geometry; space group = I4mm, No. 107; formation energy without anion corrections = 0.056 eV/atom; final energy = -0.6672 Ha/atom; offset from the most stable computed form = 176 meV/atom
1.0
-1.650 1.650 3.687
1.650 -1.650 3.687
1.650 1.650 -3.687
Cr Ni Se
1 1 1
Direct
0.000 0.000 0.000
0.654 0.654 0.000
0.338 0.338 0.000



Entry 14:
meta-GGA SCAN Cr2SiNi, PBEsol geometry; space group = Immm, No. 71; formation energy without anion corrections = -0.241 eV/atom; final energy = -0.5873 Ha/atom
1.0
-1.544 1.810 3.915
1.544 -1.810 3.915
1.544 1.810 -3.915
Cr Si Ni
2 1 1
Direct
0.248 0.248 0.000
0.752 0.752 0.000
0.000 0.500 0.500
0.500 0.000 0.500



Entry 15:
meta-GGA SCAN Cr6Si7Ni16, PBEsol geometry; space group = Fm-3m, No. 225; formation energy without anion corrections = -0.332 eV/atom; final energy = -0.5688 Ha/atom
1.0
0.000 5.436 5.436
5.436 0.000 5.436
5.436 5.436 0.000
Cr Si Ni
6 7 16
Direct
0.157 0.157 0.843
0.157 0.843 0.157
0.157 0.843 0.843
0.843 0.157 0.157
0.843 0.157 0.843
0.843 0.843 0.157
0.000 0.000 0.500
0.000 0.500 0.000
0.000 0.500 0.500
0.500 0.000 0.000
0.500 0.000 0.500
0.500 0.500 0.000
0.500 0.500 0.500
0.148 0.617 0.617
0.168 0.168 0.168
0.168 0.168 0.496
0.168 0.496 0.168
0.383 0.383 0.383
0.383 0.383 0.852
0.383 0.852 0.383
0.496 0.168 0.168
0.504 0.832 0.832
0.617 0.148 0.617
0.617 0.617 0.148
0.617 0.617 0.617
0.832 0.504 0.832
0.832 0.832 0.504
0.832 0.832 0.832
0.852 0.383 0.383



Entry 16:
meta-GGA SCAN Cr2SiNi, PBEsol geometry; space group = Pmmm, No. 47; formation energy without anion corrections = -0.231 eV/atom; final energy = -0.5869 Ha/atom
1.0
3.036 0.000 0.000
0.000 3.637 0.000
0.000 0.000 3.961
Cr Si Ni
2 1 1
Direct
0.000 0.000 0.000
0.500 0.500 0.000
0.000 0.500 0.500
0.500 0.000 0.500



Entry 17:
meta-GGA SCAN CrSi2Ni, PBEsol geometry; space group = R-3m, No. 166; formation energy without anion corrections = -0.179 eV/atom; final energy = -0.5081 Ha/atom
1.0
1.316 0.760 7.627
-1.316 0.760 7.627
0.000 -1.519 7.627
Cr Si Ni
1 2 1
Direct
0.000 0.000 0.000
0.248 0.248 0.248
0.752 0.752 0.752
0.500 0.500 0.500



Entry 18:
meta-GGA SCAN CrSi2Ni, PBEsol geometry; space group = Fm-3m, No. 225; formation energy without anion corrections = -0.224 eV/atom; final energy = -0.5098 Ha/atom
1.0
0.000 2.811 2.811
2.811 0.000 2.811
2.811 2.811 0.000
Cr Si Ni
1 2 1
Direct
0.000 0.000 0.000
0.250 0.250 0.250
0.750 0.750 0.750
0.500 0.500 0.500



Entry 19:
meta-GGA SCAN CrSiNi, PBEsol geometry; space group = Pnma, No. 62; formation energy without anion corrections = -0.449 eV/atom; final energy = -0.5625 Ha/atom
1.0
5.660 0.000 0.000
0.000 3.582 0.000
0.000 0.000 6.811
Cr Si Ni
4 4 4
Direct
0.029 0.250 0.182
0.471 0.750 0.682
0.529 0.250 0.318
0.971 0.750 0.818
0.245 0.750 0.375
0.255 0.250 0.875
0.745 0.750 0.125
0.755 0.250 0.625
0.147 0.250 0.558
0.353 0.750 0.058
0.647 0.250 0.942
0.853 0.750 0.442



Entry 20:
meta-GGA SCAN SrCrNi2, PBEsol geometry; space group = Imm2, No. 44; calculated formation energy = 2.1 eV per formula unit; final energy = -0.6519 Ha/atom
1.0
-1.481 2.335 4.773
1.481 -2.335 4.773
1.481 2.335 -4.773
Sr Cr Ni
1 1 2
Direct
0.000 0.000 0.000
0.296 0.796 0.500
0.521 0.521 0.000
0.723 0.223 0.500